Material: LaCe2NpP4
Method: DFT, PBE
State: relaxed

Energy of formation from the pure elements ... -1.324 eV/atom

Geometry as CIF:
```
data_LaCe2NpP4
_space_group_name_H-M_alt 'I -4 m 2'
_space_group_IT_number 119
_space_group_name_Hall 'I -4 -2'
_cell_length_a 5.8106
_cell_length_b 5.8106
_cell_length_c 11.6237
_cell_angle_alpha 90.00
_cell_angle_beta 90.00
_cell_angle_gamma 90.00
loop_
_atom_site_label
_atom_site_type_symbol
_atom_site_fract_x
_atom_site_fract_y
_atom_site_fract_z
_atom_site_occupancy
La1 La 0.0000 0.0000 0.0000 1
Ce1 Ce 0.0000 0.0000 0.5000 1
Ce2 Ce 0.0000 0.5000 0.2500 1
Np1 Np 0.0000 0.5000 0.7500 1
P1 P 0.0000 0.0000 0.2552 1
P2 P 0.0000 0.5000 0.5045 1
```